[1]
An optimized crystal structure of Nb2Fe3Mo4N3, computed with GGA-PBE.

a = 5.0522 Å, b = 5.0522 Å, c = 13.5789 Å
α = 100.64°, β = 90.14°, γ = 119.84°
Closest atoms and distances in Å follow each position.
Fractional positions:
Fe: 0.5859 0.3097 0.2491  4 Fe 2.53-2.54, 4 Mo 2.54-2.57
Fe: 0.1102 0.3602 0.2500  4 Mo 2.53-2.56, 4 Fe 2.53-2.54
Fe: 0.0606 0.8368 0.2509  4 Fe 2.53-2.54, 4 Mo 2.54-2.57
Fe: 0.9394 0.1632 0.7491  4 Fe 2.53-2.54, 4 Mo 2.54-2.57
Fe: 0.8898 0.6398 0.7500  4 Mo 2.53-2.56, 4 Fe 2.53-2.54
Fe: 0.4141 0.6903 0.7509  4 Fe 2.53-2.54, 4 Mo 2.54-2.57
Mo: 0.1925 0.0542 0.0925  3 N 2.09-2.17
Mo: 0.8695 0.3939 0.0926  3 N 2.10-2.17
Mo: 0.3014 0.2769 0.4074  3 N 2.10-2.17
Mo: 0.9617 0.6001 0.4075  3 N 2.09-2.17
Mo: 0.0383 0.3999 0.5925  3 N 2.09-2.17
Mo: 0.6986 0.7231 0.5926  3 N 2.10-2.17
Mo: 0.1305 0.6061 0.9074  3 N 2.10-2.17
Mo: 0.8075 0.9458 0.9075  3 N 2.09-2.17
N: 0.5000 0.0000 0.0000  4 Mo 2.09-2.10
N: 0.2019 0.3506 0.0000  4 Mo 2.11-2.17, 2 Nb 2.29-2.30
N: 0.7981 0.6494 0.0000  4 Mo 2.11-2.17, 2 Nb 2.29-2.30
N: 0.3506 0.7018 0.4999  4 Mo 2.11-2.17, 2 Nb 2.29
N: 0.0000 0.0000 0.5000  4 Mo 2.09-2.10
N: 0.6494 0.2982 0.5001  4 Mo 2.11-2.17, 2 Nb 2.29
Nb: 0.5425 0.7494 0.1276  3 N 2.29-2.39
Nb: 0.6219 0.9150 0.3724  3 N 2.29-2.39
Nb: 0.3781 0.0850 0.6276  3 N 2.29-2.39
Nb: 0.4575 0.2506 0.8724  3 N 2.29-2.39

Properties
Mass density = 8.81 g/cm³
Electronic total energy = -9.674 eV/atom
Space-group type = C2/c (15)
Size of the total moment = 4.0 μB per formula unit

[2]
An optimized crystal structure of Ho2Al4PdPt, computed with GGA-PBE.

a = 6.9426 Å, b = 5.5353 Å, c = 5.5353 Å
α = 45.35°, β = 90.00°, γ = 90.00°
Closest atoms and distances in Å follow each position.
Fractional positions:
Al: 0.1972 0.3579 0.3579  1 Pt 2.58, 2 Pd 2.63, 1 Al 2.74
Al: 0.8028 0.3579 0.3579  1 Pt 2.58, 2 Pd 2.63, 1 Al 2.74
Al: 0.3034 0.6426 0.6426  1 Pd 2.58, 2 Pt 2.63, 1 Al 2.73
Al: 0.6966 0.6426 0.6426  1 Pd 2.58, 2 Pt 2.63, 1 Al 2.73
Ho: 0.0000 0.0704 0.0704  3 Pd 2.87-3.09, 4 Al 3.09
Ho: 0.5000 0.9284 0.9284  3 Pt 2.89-3.08, 6 Al 3.08-3.22
Pd: 0.0000 0.7890 0.7890  6 Al 2.58-2.63, 1 Ho 2.87
Pt: 0.5000 0.2113 0.2113  6 Al 2.58-2.63, 1 Ho 2.89

Properties
Mass density = 8.11 g/cm³
Electronic total energy = -5.317 eV/atom
Space-group type = Amm2 (38)
Size of the total moment = 0.0 μB per formula unit

[3]
An optimized crystal structure of PaTaPt, computed with GGA-PBE.

a = 4.6196 Å, b = 4.6196 Å, c = 4.6196 Å
α = 60.00°, β = 60.00°, γ = 60.00°
Closest atoms and distances in Å follow each position.
Fractional positions:
Pa: 0.0000 0.0000 0.0000  4 Ta 2.83, 4 Pt 2.83
Pt: 0.2500 0.2500 0.2500  4 Pa 2.83
Ta: 0.7500 0.7500 0.7500  4 Pa 2.83

Properties
Mass density = 14.46 g/cm³
Electronic total energy = -8.641 eV/atom
Distance to the lowest polymorph of the same formula = 1.15 eV per formula unit
Space-group type = F-43m (216)
Size of the total moment = 0.3 μB per formula unit
Formation energy = 493 meV/atom

[4]
An optimized crystal structure of Pr3Co2B2As3, computed with GGA-PBE.

a = 11.7571 Å, b = 11.7571 Å, c = 11.7571 Å
α = 160.00°, β = 160.00°, γ = 28.43°
Closest atoms and distances in Å follow each position.
Fractional positions:
As: 0.1283 0.1283 0.0000  1 B 2.10
As: 0.5000 0.5000 0.0000  4 Pr 2.89
As: 0.8717 0.8717 0.0000  1 B 2.10
B: 0.2206 0.2206 0.0000  1 As 2.10, 4 Co 2.15
B: 0.7794 0.7794 0.0000  1 As 2.10, 4 Co 2.15
Co: 0.7500 0.2500 0.5000  4 B 2.15
Co: 0.2500 0.7500 0.5000  4 B 2.15
Pr: 0.0000 0.0000 0.0000  6 As 2.89-2.92
Pr: 0.3571 0.3571 0.0000  4 As 2.91, 1 B 3.11, 4 Co 3.18
Pr: 0.6429 0.6429 0.0000  4 As 2.91, 1 B 3.11, 4 Co 3.18

Properties
Mass density = 6.88 g/cm³
Electronic total energy = -6.266 eV/atom
Space-group type = I4/mmm (139)
Size of the total moment = 0.0 μB per formula unit

[5]
An optimized crystal structure of HoMg, computed with GGA-PBE.

a = 3.3827 Å, b = 3.3827 Å, c = 11.1500 Å
α = 90.00°, β = 90.00°, γ = 120.00°
Closest atoms and distances in Å follow each position.
Fractional positions:
Ho: 0.0000 0.0000 0.4969  9 Ho 3.38-3.46, 3 Mg 3.45
Ho: 0.6667 0.3333 0.7531  9 Ho 3.38-3.46, 3 Mg 3.45
Mg: 0.0000 0.0000 0.0081  9 Mg 3.26-3.38, 3 Ho 3.45
Mg: 0.6667 0.3333 0.2419  9 Mg 3.26-3.38, 3 Ho 3.45

Properties
Mass density = 5.69 g/cm³
Electronic total energy = -3.024 eV/atom
Space-group type = P-3m1 (164)
Size of the total moment = 0.2 μB per formula unit

[6]
An optimized crystal structure of LaTm2Mg3Pt2Au, computed with GGA-PBE.

a = 4.0529 Å, b = 7.5026 Å, c = 7.5026 Å
α = 120.04°, β = 90.00°, γ = 90.00°
Closest atoms and distances in Å follow each position.
Fractional positions:
Au: 0.0000 0.9919 0.9919  6 Mg 2.69-2.79
La: 0.0000 0.4213 0.4213  4 Pt 3.07, 1 Au 3.22, 2 Mg 3.22
Mg: 0.5000 0.9942 0.2489  2 Pt 2.76-2.91, 2 Au 2.79
Mg: 0.5000 0.7553 0.7553  2 Au 2.69, 2 Pt 2.93
Mg: 0.5000 0.2489 0.9942  2 Pt 2.76-2.91, 2 Au 2.79
Pt: 0.5000 0.6736 0.3309  3 Mg 2.76-2.93, 4 Tm 3.01-3.02, 2 La 3.07
Pt: 0.5000 0.3309 0.6736  3 Mg 2.76-2.93, 4 Tm 3.01-3.02, 2 La 3.07
Tm: 0.0000 0.9989 0.5849  4 Pt 3.01-3.02, 1 Au 3.08, 4 Mg 3.22-3.36
Tm: 0.0000 0.5849 0.9989  4 Pt 3.01-3.02, 1 Au 3.08, 4 Mg 3.22-3.36

Properties
Mass density = 9.56 g/cm³
Electronic total energy = -4.623 eV/atom
Space-group type = Amm2 (38)
Size of the total moment = 0.0 μB per formula unit

[7]
An optimized crystal structure of Rb2PdPbBr6, computed with GGA-PBE.

a = 7.8853 Å, b = 7.8853 Å, c = 7.8853 Å
α = 60.00°, β = 60.00°, γ = 60.00°
Closest atoms and distances in Å follow each position.
Fractional positions:
Br: 0.2626 0.7374 0.2626  1 Pd 2.65, 1 Pb 2.93
Br: 0.7374 0.2626 0.2626  1 Pd 2.65, 1 Pb 2.93
Br: 0.7374 0.7374 0.2626  1 Pd 2.65, 1 Pb 2.93
Br: 0.2626 0.2626 0.7374  1 Pd 2.65, 1 Pb 2.93
Br: 0.7374 0.2626 0.7374  1 Pd 2.65, 1 Pb 2.93
Br: 0.2626 0.7374 0.7374  1 Pd 2.65, 1 Pb 2.93
Pb: 0.0000 0.0000 0.0000  6 Br 2.93
Pd: 0.5000 0.5000 0.5000  6 Br 2.65
Rb: 0.2500 0.2500 0.2500  12 Br 3.95
Rb: 0.7500 0.7500 0.7500  12 Br 3.95

Properties
Mass density = 4.62 g/cm³
Electronic total energy = -3.107 eV/atom
Space-group type = Fm-3m (225)

[8]
An optimized crystal structure of Pt7Pb2, computed with GGA-PBE.

a = 2.8939 Å, b = 2.8939 Å, c = 27.1384 Å
α = 90.00°, β = 90.00°, γ = 120.00°
Closest atoms and distances in Å follow each position.
Fractional positions:
Pb: 0.3333 0.6667 0.1620  6 Pb 2.89, 3 Pt 3.00
Pb: 0.6667 0.3333 0.8381  6 Pb 2.89, 3 Pt 3.00
Pt: 0.0000 0.0000 0.2536  9 Pt 2.83-2.89, 3 Pb 3.00
Pt: 0.6667 0.3333 0.3376  12 Pt 2.78-2.89
Pt: 0.3333 0.6667 0.4192  12 Pt 2.76-2.89
Pt: 0.0000 0.0000 0.5000  12 Pt 2.76-2.89
Pt: 0.6667 0.3333 0.5808  12 Pt 2.76-2.89
Pt: 0.3333 0.6667 0.6624  12 Pt 2.77-2.89
Pt: 0.0000 0.0000 0.7464  9 Pt 2.83-2.89, 3 Pb 3.00

Properties
Mass density = 15.02 g/cm³
Electronic total energy = -5.295 eV/atom
Space-group type = P-3m1 (164)
Size of the total moment = 0.0 μB per formula unit

[9]
An optimized crystal structure of ZnCoBiIr, computed with GGA-PBE.

a = 4.5149 Å, b = 4.5149 Å, c = 4.5149 Å
α = 60.00°, β = 60.00°, γ = 60.00°
Closest atoms and distances in Å follow each position.
Fractional positions:
Bi: 0.0000 0.0000 0.0000  4 Co 2.76, 4 Ir 2.76
Co: 0.7500 0.7500 0.7500  4 Zn 2.76, 4 Bi 2.76
Ir: 0.2500 0.2500 0.2500  4 Zn 2.76, 4 Bi 2.76
Zn: 0.5000 0.5000 0.5000  4 Co 2.76, 4 Ir 2.76

Properties
Mass density = 13.41 g/cm³
Electronic total energy = -5.041 eV/atom
Distance to the lowest polymorph of the same formula = 0.00 eV per formula unit
Space-group type = F-43m (216)
Size of the total moment = 1.2 μB per formula unit

[10]
An optimized crystal structure of Cu2Ag3, computed with GGA-PBE.

a = 2.8479 Å, b = 3.8308 Å, c = 14.2808 Å
α = 90.00°, β = 90.00°, γ = 90.00°
Closest atoms and distances in Å follow each position.
Fractional positions:
Ag: 0.5000 0.0000 0.0872  5 Cu 2.64-2.75, 6 Ag 2.85-2.86
Ag: 0.0000 0.5000 0.1973  5 Cu 2.77-2.94, 7 Ag 2.79-2.86
Ag: 0.0000 0.5000 0.3928  4 Cu 2.76, 7 Ag 2.79-2.86
Ag: 0.5000 0.0000 0.5027  10 Ag 2.85-2.86, 2 Cu 2.96-2.97
Ag: 0.0000 0.5000 0.6122  4 Cu 2.77, 7 Ag 2.79-2.85
Ag: 0.0000 0.5000 0.8078  9 Cu 2.63-2.76, 3 Ag 2.79-2.85
Cu: 0.5000 0.0000 0.2956  10 Ag 2.76-2.98, 2 Cu 2.85
Cu: 0.5000 0.0000 0.7105  3 Cu 2.74-2.85, 9 Ag 2.76-2.97
Cu: 0.5000 0.0000 0.9024  5 Ag 2.64-2.74, 7 Cu 2.71-2.85
Cu: 0.0000 0.5000 0.9917  6 Ag 2.63-2.94, 6 Cu 2.71-2.85

Properties
Mass density = 9.61 g/cm³
Electronic total energy = -3.094 eV/atom
Distance to the lowest polymorph of the same formula = 0.28 eV per formula unit
Space-group type = Pmm2 (25)
Formation energy = 87 meV/atom

[11]
An optimized crystal structure of HfTa, computed with GGA-PBE.

a = 4.4351 Å, b = 4.4351 Å, c = 4.4351 Å
α = 60.00°, β = 60.00°, γ = 60.00°
Closest atoms and distances in Å follow each position.
Fractional positions:
Hf: 0.0000 0.0000 0.0000  4 Ta 2.72
Ta: 0.2500 0.2500 0.2500  4 Hf 2.72

Properties
Mass density = 9.68 g/cm³
Electronic total energy = -8.033 eV/atom
Space-group type = F-43m (216)
Size of the total moment = 1.5 μB per formula unit
Formation energy = 2871 meV/atom